1.
Compound: Cs2AcTi2O6
Source: Alexandria
Functional: GGA-PBE
Structure: relaxed

a b c (Å): 6.5207 6.5207 7.6865
angles (deg): 64.90 64.90 60.00
With the nearest neighbours (Å) after each atom.
Element x y z (fractional)
O  0.7472  0.7472  0.2288  1 Ti 1.79
Ti  0.4236  0.4236  0.7293  3 O 1.79
Ti  0.5764  0.5764  0.2707  3 O 1.79
Cs  0.2128  0.2128  0.3617  9 O 3.38-3.39
Cs  0.7872  0.7872  0.6383  9 O 3.38-3.39
Ac  0.0000  0.0000  0.0000  6 O 2.51
O  0.7472  0.2768  0.2288  1 Ti 1.79
O  0.2528  0.7232  0.7712  1 Ti 1.79
O  0.7232  0.2528  0.7712  1 Ti 1.79
O  0.2528  0.2528  0.7712  1 Ti 1.79
O  0.2768  0.7472  0.2288  1 Ti 1.79

Calculated values
The space group is No. 166.

***

2.
Compound: Cs2Ac2TiO6
Source: Alexandria
Functional: GGA-PBE
Structure: relaxed

a b c (Å): 6.2081 6.2081 7.2136
angles (deg): 96.68 96.68 119.02
With the nearest neighbours (Å) after each atom.
Element x y z (fractional)
Ac  0.6640  0.3360  0.5000  6 O 2.49-2.55
O  0.6760  0.9608  0.3483  1 Ti 2.06
O  0.0392  0.3240  0.6517  1 Ti 2.06
Ti  0.0000  0.0000  0.5000  6 O 2.04-2.06
Ac  0.3360  0.6640  0.5000  6 O 2.49-2.55
O  0.3240  0.0392  0.6517  1 Ti 2.06
Cs  0.8378  0.1622  0.0000  4 O 3.00-3.06
O  0.2252  0.2252  0.3377  1 Ti 2.04
O  0.9608  0.6760  0.3483  1 Ti 2.06
Cs  0.1622  0.8378  0.0000  4 O 3.00-3.06
O  0.7748  0.7748  0.6623  1 Ti 2.04

Calculated values
The calculation puts the density of states at the Fermi level at 0.000 states/eV per cell. The space group is No. 12.

***

3.
Compound: CsAcTi2O6
Source: Alexandria
Functional: GGA-PBE
Structure: relaxed

a b c (Å): 5.8212 8.0302 8.0302
angles (deg): 94.22 85.86 85.86
With the nearest neighbours (Å) after each atom.
Element x y z (fractional)
O  0.7788  0.0055  0.2696  1 Ti 1.79
Ti  0.7720  0.2108  0.3742  4 O 1.75-1.93
Ti  0.2720  0.3742  0.2108  4 O 1.75-1.93
O  0.0847  0.2765  0.3810  2 Ti 1.93
Ti  0.2280  0.7892  0.6258  4 O 1.75-1.93
Ti  0.7280  0.6258  0.7892  4 O 1.75-1.93
O  0.7212  0.7304  0.9945  1 Ti 1.79
O  0.2212  0.9945  0.7304  1 Ti 1.79
O  0.5847  0.3810  0.2765  2 Ti 1.93
Cs  0.2500  0.9064  0.0936  6 O 2.97-3.06
O  0.4153  0.6190  0.7235  2 Ti 1.93
Ac  0.7500  0.6994  0.3006  4 O 2.44-2.51
Cs  0.7500  0.0936  0.9064  6 O 2.97-3.06
O  0.1357  0.5751  0.2024  1 Ti 1.75
O  0.6357  0.2024  0.5751  1 Ti 1.75
O  0.3643  0.7976  0.4249  1 Ti 1.75
O  0.2788  0.2696  0.0055  1 Ti 1.79
O  0.9153  0.7235  0.6190  2 Ti 1.93
O  0.8643  0.4249  0.7976  1 Ti 1.75
Ac  0.2500  0.3006  0.6994  4 O 2.44-2.51

Calculated values
The calculation puts the density of states at the Fermi level at 0.000 states/eV per cell. The space group is No. 15.

***

4.
Compound: Cs2AcTi2O7
Source: Alexandria
Functional: GGA-PBE
Structure: relaxed

a b c (Å): 4.0166 4.0166 12.6182
angles (deg): 80.82 80.82 90.00
With the nearest neighbours (Å) after each atom.
Element x y z (fractional)
Ac  0.0000  0.0000  0.0000  12 O 2.72-2.84
O  0.5000  0.5000  0.0000  2 Ti 2.14
O  0.5754  0.0753  0.8501  2 Ti 2.03
Cs  0.8137  0.8137  0.3715  4 O 2.91-2.92
O  0.3404  0.3404  0.3187  1 Ti 1.78
O  0.4246  0.9247  0.1499  2 Ti 2.03
O  0.9247  0.4246  0.1499  2 Ti 2.03
Ti  0.4129  0.4129  0.1738  1 O 1.78
Ti  0.5871  0.5871  0.8262  1 O 1.78
Cs  0.1863  0.1863  0.6285  4 O 2.91-2.92
O  0.6596  0.6596  0.6813  1 Ti 1.78
O  0.0753  0.5754  0.8501  2 Ti 2.03

Calculated values
The calculation puts the density of states at the Fermi level at 7.592 states/eV per cell. The space group is No. 139.

***

The following formation energy from raw total energies values (in meV per atom) correspond, in order, to the records above: -2606, -2616, -2923, -2643.
The following energy values (in eV for the cell shown) correspond, in order, to the records above: -80.02, -76.34, -159.45, -88.03.
The following ρ values (in g/cm³) correspond, in order, to the records above: 4.61, 6.06, 4.92, 5.87.